# Pu2MgGe3Pd4

Pu2MgGe3Pd4 after structural relaxation (PBE, the Alexandria database).

abc: 4.1531 4.1531 11.1422
angles: 90.00 90.00 90.00
Site moments in Bohr magnetons follow the coordinates.
Element x y z (fractional)
Pu 0.5000 0.0000 0.2413  5.28
Pu 0.0000 0.5000 0.7587  5.28
Mg 0.5000 0.5000 0.5000  0.01
Ge 0.0000 0.0000 0.5000  -0.01
Ge 0.5000 0.0000 0.8681  -0.01
Ge 0.0000 0.5000 0.1319  -0.01
Pd 0.5000 0.5000 0.0000  0.05
Pd 0.0000 0.0000 0.0000  0.05
Pd 0.5000 0.0000 0.6449  -0.02
Pd 0.0000 0.5000 0.3551  -0.02

Calculated volume   19.22 A^3/atom
Formation energy from the elements   -5.9 eV per formula unit
M_tot   11.2 μB/f.u.